(1)
Computed, not measured: crystalline La3Cu2Au4 at its relaxed geometry at the PBE level of DFT.

Cell: 6.001 6.001 8.841 Å, 109.40 109.40 45.50°
Positions (direct):
La: 0.000 0.000 0.000
La: 0.334 0.334 0.334
La: 0.666 0.666 0.666
Cu: 0.391 0.391 0.717
Cu: 0.609 0.609 0.283
Au: 0.061 0.061 0.383
Au: 0.285 0.285 0.934
Au: 0.715 0.715 0.066
Au: 0.939 0.939 0.617

Calculated values
* uncorrected energy: -4.67 eV/atom
* crystal system: monoclinic
* calculated volume: 23.54 A^3/atom
* formation energy from the elements: -0.659 eV/atom

=====

(2)
Computed, not measured: crystalline Er3Mg2In6 at its relaxed geometry at the PBE level of DFT.

Cell: 15.713 15.713 15.713 Å, 164.01 164.01 22.68°
Positions (direct):
Er: 0.000 0.000 0.000
Er: 0.164 0.164 0.000
Er: 0.836 0.836 0.000
Mg: 0.360 0.360 0.000
Mg: 0.640 0.640 0.000
In: 0.075 0.575 0.500
In: 0.268 0.268 0.000
In: 0.425 0.925 0.500
In: 0.575 0.075 0.500
In: 0.732 0.732 0.000
In: 0.925 0.425 0.500

Calculated values
* uncorrected energy: -3.18 eV/atom
* crystal system: tetragonal
* calculated volume: 26.75 A^3/atom
* formation energy from the elements: -0.152 eV/atom

=====

(3)
Computed, not measured: crystalline Sr2TlPb at its relaxed geometry at the PBE level of DFT.

Cell: 4.277 5.472 12.201 Å, 90.00 90.00 90.00°
Positions (direct):
Sr: 0.000 0.000 0.000
Sr: 0.000 0.500 0.226
Sr: 0.500 0.000 0.726
Sr: 0.500 0.500 0.500
Tl: 0.000 0.500 0.762
Tl: 0.500 0.000 0.262
Pb: 0.000 0.000 0.457
Pb: 0.500 0.500 0.957

Calculated values
* uncorrected energy: -2.73 eV/atom
* crystal system: orthorhombic
* calculated volume: 35.69 A^3/atom
* formation energy from the elements: -0.374 eV/atom

=====

(4)
Computed, not measured: crystalline NaLaZnSn at its relaxed geometry at the PBE level of DFT.

Cell: 7.557 7.557 7.557 Å, 90.00 90.00 90.00°
Positions (direct):
Na: 0.000 0.000 0.000
Na: 0.000 0.500 0.500
Na: 0.500 0.000 0.500
Na: 0.500 0.500 0.000
La: 0.000 0.000 0.500
La: 0.000 0.500 0.000
La: 0.500 0.000 0.000
La: 0.500 0.500 0.500
Zn: 0.250 0.250 0.250
Zn: 0.250 0.750 0.750
Zn: 0.750 0.250 0.750
Zn: 0.750 0.750 0.250
Sn: 0.250 0.250 0.750
Sn: 0.250 0.750 0.250
Sn: 0.750 0.250 0.250
Sn: 0.750 0.750 0.750

Calculated values
* uncorrected energy: -3.24 eV/atom
* crystal system: cubic
* calculated volume: 26.97 A^3/atom
* formation energy from the elements: -0.362 eV/atom

=====

(5)
Computed, not measured: crystalline Tb5C2Br9 at its relaxed geometry at the PBE level of DFT.

Cell: 10.418 16.684 13.676 Å, 90.00 122.44 90.00°
Positions (direct):
Tb: 0.009 0.161 0.220
Tb: 0.009 0.339 0.720
Tb: 0.015 0.557 0.763
Tb: 0.015 0.943 0.263
Tb: 0.161 0.537 0.534
Tb: 0.161 0.963 0.034
Tb: 0.203 0.188 0.055
Tb: 0.203 0.312 0.555
Tb: 0.355 0.061 0.313
Tb: 0.355 0.439 0.813
Tb: 0.645 0.561 0.187
Tb: 0.645 0.939 0.687
Tb: 0.797 0.688 0.445
Tb: 0.797 0.812 0.945
Tb: 0.839 0.037 0.966
Tb: 0.839 0.463 0.466
Tb: 0.985 0.057 0.737
Tb: 0.985 0.443 0.237
Tb: 0.991 0.661 0.280
Tb: 0.991 0.839 0.780
C: 0.074 0.030 0.169
C: 0.074 0.470 0.669
C: 0.124 0.089 0.120
C: 0.124 0.411 0.620
C: 0.876 0.589 0.380
C: 0.876 0.911 0.880
C: 0.926 0.530 0.331
C: 0.926 0.970 0.831
Br: 0.084 0.194 0.638
Br: 0.084 0.306 0.138
Br: 0.085 0.702 0.674
Br: 0.085 0.798 0.174
Br: 0.086 0.564 0.156
Br: 0.086 0.936 0.656
Br: 0.283 0.667 0.470
Br: 0.283 0.833 0.970
Br: 0.288 0.074 0.942
Br: 0.288 0.426 0.442
Br: 0.296 0.182 0.438
Br: 0.296 0.318 0.938
Br: 0.323 0.558 0.959
Br: 0.323 0.942 0.459
Br: 0.463 0.557 0.736
Br: 0.463 0.943 0.236
Br: 0.491 0.184 0.254
Br: 0.491 0.316 0.754
Br: 0.509 0.684 0.246
Br: 0.509 0.816 0.746
Br: 0.537 0.057 0.764
Br: 0.537 0.443 0.264
Br: 0.677 0.058 0.541
Br: 0.677 0.442 0.041
Br: 0.704 0.682 0.062
Br: 0.704 0.818 0.562
Br: 0.712 0.574 0.558
Br: 0.712 0.926 0.058
Br: 0.717 0.167 0.030
Br: 0.717 0.333 0.530
Br: 0.914 0.064 0.344
Br: 0.914 0.436 0.844
Br: 0.915 0.202 0.826
Br: 0.915 0.298 0.326
Br: 0.916 0.694 0.862
Br: 0.916 0.806 0.362

Calculated values
* uncorrected energy: -5.12 eV/atom
* crystal system: monoclinic
* formation energy without anion corrections: -1.58 eV per atom
* calculated volume: 31.35 A^3/atom

=====

(6)
Computed, not measured: crystalline In2PS at its relaxed geometry at the PBE level of DFT.

Cell: 3.957 3.957 19.186 Å, 90.00 90.00 120.00°
Positions (direct):
In: 0.000 0.000 0.245
In: 0.000 0.000 0.755
In: 0.333 0.667 0.422
In: 0.333 0.667 0.912
In: 0.667 0.333 0.088
In: 0.667 0.333 0.578
P: 0.000 0.000 0.500
P: 0.333 0.667 0.167
P: 0.667 0.333 0.833
S: 0.000 0.000 0.000
S: 0.333 0.667 0.667
S: 0.667 0.333 0.333

Calculated values
* uncorrected energy: -4.01 eV/atom
* crystal system: trigonal
* formation energy without anion corrections: -0.25 eV per atom
* distance to the lowest polymorph of the same formula: 0.00 kcal/mol of atoms
* calculated volume: 21.68 A^3/atom

=====

(7)
Computed, not measured: crystalline SmY2Co2 at its relaxed geometry at the PBE level of DFT.

Cell: 11.446 3.755 5.549 Å, 90.00 103.56 90.00°
Positions (direct):
Sm: 0.000 0.000 0.000
Sm: 0.500 0.500 0.000
Y: 0.148 0.500 0.580
Y: 0.352 0.000 0.420
Y: 0.648 0.000 0.580
Y: 0.852 0.500 0.420
Co: 0.220 0.500 0.100
Co: 0.280 0.000 0.900
Co: 0.720 0.000 0.100
Co: 0.780 0.500 0.900

Calculated values
* uncorrected energy: -6.41 eV/atom
* crystal system: monoclinic
* distance to the lowest polymorph of the same formula: 1.81 kcal/mol of atoms
* calculated volume: 23.18 A^3/atom
* formation energy from the elements: -0.039 eV/atom

=====

(8)
Computed, not measured: crystalline LuNbO4 at its relaxed geometry at the PBE level of DFT.

Cell: 5.086 5.401 5.279 Å, 90.00 95.27 90.00°
Positions (direct):
Lu: 0.000 0.241 0.250
Lu: 0.000 0.759 0.750
Nb: 0.500 0.290 0.750
Nb: 0.500 0.710 0.250
O: 0.247 0.073 0.587
O: 0.247 0.927 0.087
O: 0.258 0.441 0.981
O: 0.258 0.559 0.481
O: 0.742 0.441 0.519
O: 0.742 0.559 0.019
O: 0.753 0.073 0.913
O: 0.753 0.927 0.413

Calculated values
* uncorrected energy: -8.85 eV/atom
* crystal system: monoclinic
* formation energy without anion corrections: -3.12 eV per atom
* calculated volume: 12.03 A^3/atom